Record 1
SiTe2Pt | meta-GGA SCAN | single point on PBEsol structure

Summary:
**Formation energy (no corrections)**: 0.449 eV/atom
**Final energy**: -38.23 eV per atom
**Distance to the lowest polymorph of the same formula**: 0.4982 eV/atom

Cell: 4.0094 5.8593 7.4580 Å, 90.00 90.00 90.00°
Closest atoms and distances in Å follow each position.
Space group Cmmm (No. 65)
Symmetry-distinct sites (fractional):
Si: 0.0000 0.0000 0.0000 (multiplicity 2)  4 Te 2.79
Te: 0.0000 0.5000 0.2606 (multiplicity 4)  2 Pt 2.68, 2 Si 2.79
Pt: 0.0000 0.0000 0.5000 (multiplicity 2)  4 Te 2.68

***

Record 2
ThSi2Pt2 | meta-GGA SCAN | single point on PBEsol structure

Summary:
**Formation energy (no corrections)**: -1.295 eV/atom
**Final energy**: -52.56 eV per atom

Cell: 4.2494 4.2494 9.7287 Å, 90.00 90.00 90.00°
Closest atoms and distances in Å follow each position.
Space group P4/nmm (No. 129, origin choice 2)
Symmetry-distinct sites (fractional):
Th: 0.2500 0.2500 0.2492 (multiplicity 2)  8 Si 3.22, 9 Pt 3.24-3.59
Si: 0.2500 0.2500 0.6321 (multiplicity 2)  5 Pt 2.42-2.48
Si: 0.2500 0.7500 0.0000 (multiplicity 2)  4 Pt 2.42
Pt: 0.2500 0.2500 0.8806 (multiplicity 2)  5 Si 2.42
Pt: 0.2500 0.7500 0.5000 (multiplicity 2)  4 Si 2.48

***

Record 3
ThSiPt | meta-GGA SCAN | single point on PBEsol structure

Summary:
**Formation energy (no corrections)**: -1.309 eV/atom
**Final energy**: -60.02 eV per atom

Cell: 4.1240 4.1240 14.6666 Å, 90.00 90.00 90.00°
Closest atoms and distances in Å follow each position.
Space group I4_1md (No. 109)
Symmetry-distinct sites (fractional):
Th: 0.0000 0.0000 0.0000 (multiplicity 4)  6 Si 3.15-3.23, 6 Pt 3.17
Si: 0.0000 0.0000 0.5805 (multiplicity 4)  3 Pt 2.40-2.43
Pt: 0.0000 0.0000 0.4145 (multiplicity 4)  3 Si 2.40-2.43

***

Record 4
Ti2Si2Pt | meta-GGA SCAN | single point on PBEsol structure

Summary:
**Formation energy (no corrections)**: -1.005 eV/atom
**Final energy**: -25.46 eV per atom

Cell: 6.1742 6.1742 3.7905 Å, 90.00 90.00 90.00°
Closest atoms and distances in Å follow each position.
Space group P4/mbm (No. 127)
Symmetry-distinct sites (fractional):
Ti: 0.1675 0.3325 0.0000 (multiplicity 4)  6 Si 2.58-2.66
Si: 0.1324 0.6324 0.5000 (multiplicity 4)  1 Si 2.31, 2 Pt 2.41, 2 Ti 2.58
Pt: 0.0000 0.0000 0.5000 (multiplicity 2)  4 Si 2.41

***

Record 5
TlSi2Pt | meta-GGA SCAN | single point on PBEsol structure

Summary:
**Formation energy (no corrections)**: 0.132 eV/atom
**Final energy**: -40.51 eV per atom

Cell: 3.0974 3.0974 7.5748 Å, 90.00 90.00 90.00°
Closest atoms and distances in Å follow each position.
Space group P4mm (No. 99)
Symmetry-distinct sites (fractional):
Tl: 0.0000 0.0000 0.0000 (multiplicity 1)  4 Tl 3.10, 4 Pt 3.22, 4 Si 3.35
Si: 0.0000 0.0000 0.4669 (multiplicity 1)  4 Pt 2.49, 4 Si 2.66
Si: 0.5000 0.5000 0.6655 (multiplicity 1)  4 Si 2.66, 1 Pt 2.68
Pt: 0.5000 0.5000 0.3118 (multiplicity 1)  5 Si 2.49-2.68

***

Record 6
Tl3SiPt | meta-GGA SCAN | single point on PBEsol structure

Summary:
**Formation energy (no corrections)**: 0.766 eV/atom
**Final energy**: -58.69 eV per atom

Cell: 5.0744 5.0744 5.0744 Å, 90.00 90.00 90.00°
Closest atoms and distances in Å follow each position.
Space group Pm-3m (No. 221)
Symmetry-distinct sites (fractional):
Tl: 0.0000 0.0000 0.5000 (multiplicity 3)  2 Si 2.54
Si: 0.0000 0.0000 0.0000 (multiplicity 1)  6 Tl 2.54
Pt: 0.5000 0.5000 0.5000 (multiplicity 1)  12 Tl 3.59

***

Record 7
TlSiPt5 | meta-GGA SCAN | single point on PBEsol structure

Summary:
**Formation energy (no corrections)**: -0.379 eV/atom
**Final energy**: -62.29 eV per atom

Cell: 3.9527 3.9527 7.1387 Å, 90.00 90.00 90.00°
Closest atoms and distances in Å follow each position.
Space group P4/mmm (No. 123)
Symmetry-distinct sites (fractional):
Tl: 0.0000 0.0000 0.0000 (multiplicity 1)  12 Pt 2.79-2.91
Si: 0.5000 0.5000 0.5000 (multiplicity 1)  8 Pt 2.44
Pt: 0.0000 0.5000 0.2998 (multiplicity 4)  2 Si 2.44
Pt: 0.5000 0.5000 0.0000 (multiplicity 1)  4 Tl 2.79, 8 Pt 2.91

***

Record 8
TmSiPt2 | meta-GGA SCAN | single point on PBEsol structure

Summary:
**Formation energy (no corrections)**: -1.374 eV/atom
**Final energy**: -51.93 eV per atom

Cell: 7.1570 6.9055 5.3932 Å, 90.00 90.00 90.00°
Closest atoms and distances in Å follow each position.
Space group Pnma (No. 62)
Symmetry-distinct sites (fractional):
Tm: 0.0258 0.2500 0.1337 (multiplicity 4)  3 Si 2.88-2.93, 8 Pt 2.95-3.07
Si: 0.1181 0.7500 0.3659 (multiplicity 4)  6 Pt 2.45-2.57
Pt: 0.1828 0.0506 0.5916 (multiplicity 8)  3 Si 2.45-2.57

***

Record 9
Tm3Si11Pt23 | meta-GGA SCAN | single point on PBEsol structure

Summary:
**Formation energy (no corrections)**: -1.019 eV/atom
**Final energy**: -51.83 eV per atom

Cell: 16.7738 16.7738 16.7738 Å, 90.00 90.00 90.00°
Closest atoms and distances in Å follow each position.
Space group Fm-3m (No. 225)
Symmetry-distinct sites (fractional):
Tm: 0.0000 0.2500 0.2500 (multiplicity 24)  8 Pt 3.12, 4 Si 3.42
Si: 0.0000 0.0000 0.1711 (multiplicity 24)  8 Pt 2.43-2.46
Si: 0.1062 0.1062 0.3938 (multiplicity 32)  7 Pt 2.43-2.54
Si: 0.1654 0.1654 0.1654 (multiplicity 32)  7 Pt 2.39-2.48
Pt: 0.0000 0.0000 0.3748 (multiplicity 24)  4 Si 2.54
Pt: 0.0830 0.0830 0.0830 (multiplicity 32)  4 Si 2.39-2.46
Pt: 0.0846 0.0846 0.2522 (multiplicity 96)  3 Si 2.41-2.43
Pt: 0.1917 0.1917 0.3083 (multiplicity 32)  4 Si 2.48, 6 Pt 2.71-2.77

***

Record 10
SiPtW | meta-GGA SCAN | single point on PBEsol structure

Summary:
**Formation energy (no corrections)**: -0.113 eV/atom
**Final energy**: -50.08 eV per atom
**Distance to the lowest polymorph of the same formula**: 0.0000 eV/atom

Cell: 4.2196 4.2196 2.7988 Å, 90.00 90.00 120.00°
Closest atoms and distances in Å follow each position.
Space group P-6m2 (No. 187)
Symmetry-distinct sites (fractional):
Si: 0.0000 0.0000 0.0000 (multiplicity 1)  3 Pt 2.44
Pt: 0.6667 0.3333 0.0000 (multiplicity 1)  3 Si 2.44
W: 0.3333 0.6667 0.5000 (multiplicity 1)  2 W 2.80, 6 Si 2.81, 6 Pt 2.81

***

Record 11
SiPtW | meta-GGA SCAN | single point on PBEsol structure

Summary:
**Formation energy (no corrections)**: 0.042 eV/atom
**Final energy**: -49.92 eV per atom
**Distance to the lowest polymorph of the same formula**: 0.1545 eV/atom

Cell: 5.7498 5.7498 5.7498 Å, 90.00 90.00 90.00°
Closest atoms and distances in Å follow each position.
Space group F-43m (No. 216)
Symmetry-distinct sites (fractional):
Si: 0.0000 0.0000 0.0000 (multiplicity 4)  4 Pt 2.49, 4 W 2.49
Pt: 0.2500 0.2500 0.7500 (multiplicity 4)  4 Si 2.49
W: 0.2500 0.2500 0.2500 (multiplicity 4)  4 Si 2.49

***

Record 12
SiPtW2 | meta-GGA SCAN | single point on PBEsol structure

Summary:
**Formation energy (no corrections)**: -0.091 eV/atom
**Final energy**: -54.99 eV per atom

Cell: 9.6310 2.7317 4.7065 Å, 90.00 109.47 90.00°
Closest atoms and distances in Å follow each position.
Space group Cm (No. 8)
Symmetry-distinct sites (fractional):
Si: 0.0000 0.0000 0.0000 (multiplicity 2)  2 Pt 2.53, 7 W 2.58-2.81, 2 Si 2.73
Pt: 0.2168 0.5000 0.3229 (multiplicity 2)  2 Si 2.53, 7 W 2.70-2.75, 2 Pt 2.73
W: 0.2594 0.0000 0.8506 (multiplicity 2)  3 Si 2.58-2.81, 2 W 2.73, 4 Pt 2.74-2.75
W: 0.4729 0.0000 0.4882 (multiplicity 2)  3 Pt 2.70-2.71, 4 Si 2.71-2.76, 3 W 2.73-3.02

***

Look up the formation energy (no corrections) of the seventh one. -0.379 eV/atom

***

Which value of formation energy (no corrections) does entry 5 give? 0.132 eV/atom

***

Which formula does entry 7 have? TlSiPt5